Mn3SnO: relaxed, GGA+U.

Cell lengths 4.4629, 4.4629, 4.4629 Å; angles 90.00, 90.00, 90.00 degrees
Each line ends with the local moment (μB).
Positions (direct):
Mn (0.0000, 0.0000, 0.5000)  4.62
Mn (0.5000, 0.0000, 0.0000)  4.52
Mn (0.0000, 0.5000, 0.0000)  4.51
O (0.0000, 0.0000, 0.0000)  0.19
Sn (0.5000, 0.5000, 0.5000)  0.01

Properties
As for the total energy: -32.96 eV per cell. The density of states at the Fermi level is 0.336 states/eV/atom. The calculation puts the magnetization at 14.65 μB/cell. The space group is No. 221.